A plane-wave DFT calculation with PBE was carried out for an optimized crystal structure of SrTlV3.

Geometry as POSCAR:
```
SrTlV3
1.0
4.673 0.000 0.000
0.000 4.673 0.000
0.000 0.000 4.673
Sr Tl V
1 1 3
Cartesian
0.000 0.000 0.000
2.336 2.336 2.336
0.000 2.336 0.000
0.000 0.000 2.336
2.336 0.000 0.000
```

Output
For the volume, the calculation gives 102.0 Å³ per cell. For the polymorph energy (0 for the lowest one), the calculation gives 4.91 eV/f.u. The space group is Pm-3m, No. 221.

=====

A plane-wave DFT calculation with PBE was carried out for an optimized crystal structure of PmSm2TmMg.

Geometry as POSCAR:
```
PmSm2TmMg
1.0
5.563 0.000 0.000
0.000 6.453 1.660
0.000 2.440 9.352
Pm Sm Tm Mg
2 4 2 2
Cartesian
4.172 3.587 6.567
1.391 5.307 4.445
4.172 6.522 9.139
1.391 2.372 1.873
1.391 1.716 5.425
4.172 7.178 5.586
1.391 8.325 10.371
4.172 0.568 0.640
4.172 3.911 3.138
1.391 4.983 7.874
```

Output
For the volume, the calculation gives 313.2 Å³ per cell. The space group is P2_1/m, No. 11.

=====

Q: Which formation enthalpy at 0 K values were calculated for the entries above? A: 2.321; 0.011, in eV per atom.
Q: Which total energy values were calculated for the entries above? A: -0.14552; -0.14845, in Ha/atom.